Density functional theory data (PBE-GGA) for a relaxed structure of PuScBr4.

Calculated values
The value obtained for the formation energy without anion corrections is -1.471 eV/atom. As for the crystal system: monoclinic.

a b c (Å): 8.0664 8.0664 6.9450
angles (deg): 112.75 112.75 28.27
Atoms (fractional coordinates):
Pu 0.0000 0.0000 0.0000
Sc 0.5000 0.5000 0.5000
Br 0.1157 0.1157 0.7525
Br 0.3776 0.3776 0.6976
Br 0.6224 0.6224 0.3024
Br 0.8843 0.8843 0.2475



Density functional theory data (PBE-GGA) for a relaxed structure of La4In2Hg3.

Calculated values
As for the crystal system: monoclinic.

a b c (Å): 6.0987 6.0987 9.6458
angles (deg): 105.50 105.50 50.37
Atoms (fractional coordinates):
La 0.0639 0.0639 0.3493
La 0.3527 0.3527 0.0996
La 0.6473 0.6473 0.9004
La 0.9361 0.9361 0.6507
In 0.2731 0.2731 0.7323
In 0.7269 0.7269 0.2677
Hg 0.0000 0.0000 0.0000
Hg 0.3624 0.3624 0.4380
Hg 0.6376 0.6376 0.5620



Density functional theory data (PBE-GGA) for a relaxed structure of Sb2F5.

Calculated values
The value obtained for the formation energy without anion corrections is -2.046 eV/atom. As for the crystal system: monoclinic.

a b c (Å): 7.4925 7.4925 7.8813
angles (deg): 102.76 102.76 35.51
Atoms (fractional coordinates):
Sb 0.0584 0.1675 0.0051
Sb 0.1675 0.0584 0.5051
Sb 0.8325 0.9416 0.4949
Sb 0.9416 0.8325 0.9949
F 0.0846 0.9154 0.2500
F 0.1223 0.2549 0.8123
F 0.2549 0.1223 0.3123
F 0.2679 0.5106 0.5344
F 0.4894 0.7321 0.9656
F 0.5106 0.2679 0.0344
F 0.7321 0.4894 0.4656
F 0.7451 0.8777 0.6877
F 0.8777 0.7451 0.1877
F 0.9154 0.0846 0.7500



Density functional theory data (PBE-GGA) for a relaxed structure of HoMg3Co8.

Calculated values
As for the crystal system: trigonal.

a b c (Å): 8.5148 8.5148 8.5148
angles (deg): 33.43 33.43 33.43
Atoms (fractional coordinates):
Ho 0.0000 0.0000 0.0000
Mg 0.1275 0.1275 0.1275
Mg 0.4987 0.4987 0.4987
Mg 0.6199 0.6199 0.6199
Co 0.0622 0.0622 0.5573
Co 0.0622 0.5573 0.0622
Co 0.0654 0.5630 0.5630
Co 0.3115 0.3115 0.3115
Co 0.5573 0.0622 0.0622
Co 0.5630 0.0654 0.5630
Co 0.5630 0.5630 0.0654
Co 0.8124 0.8124 0.8124



Number 1: density of states at the Fermi level 10.90 states/eV/f.u., electronic total energy -36.18 eV per cell, calculated density 5.149 Mg/m³. Number 2: density of states at the Fermi level 7.88 states/eV/f.u., electronic total energy -30.17 eV per cell, calculated density 8.725 Mg/m³. Number 3: density of states at the Fermi level 0.01 states/eV/f.u., electronic total energy -63.85 eV per cell, calculated density 4.497 Mg/m³. Number 4: density of states at the Fermi level 14.39 states/eV/f.u., electronic total energy -67.24 eV per cell, calculated density 7.059 Mg/m³.